Entry 1:
A relaxed structure of NbAs3C, computed with GGA-PBE.

Structure (POSCAR):
```
NbAs3C
1.0
4.304 0.000 0.000
0.000 4.304 0.000
0.000 0.000 4.304
Nb As C
1 3 1
direct
0.000 0.000 0.000
0.000 0.500 0.500
0.500 0.000 0.500
0.500 0.500 0.000
0.500 0.500 0.500
```

M_tot = 0.0 μB per cell


Entry 2:
A relaxed structure of Nb2AsC, computed with GGA-PBE.

Structure (POSCAR):
```
Nb2AsC
1.0
3.320 0.000 0.000
-1.660 2.875 0.000
0.000 0.000 18.549
Nb As C
6 3 3
direct
0.000 0.000 0.228
0.000 0.000 0.772
0.333 0.667 0.439
0.333 0.667 0.895
0.667 0.333 0.105
0.667 0.333 0.561
0.000 0.000 0.000
0.333 0.667 0.667
0.667 0.333 0.333
0.000 0.000 0.500
0.333 0.667 0.167
0.667 0.333 0.833
```

M_tot = 0.0 μB per cell


Entry 3:
A relaxed structure of NbAs2PtC, computed with GGA-PBE.

Structure (POSCAR):
```
NbAs2PtC
1.0
5.019 0.000 0.000
0.000 5.019 0.000
0.000 0.000 4.049
Nb As Pt C
1 2 1 1
direct
0.000 0.000 0.000
0.000 0.500 0.000
0.500 0.000 0.000
0.500 0.500 0.500
0.000 0.000 0.500
```

M_tot = 0.0 μB per cell


Entry 4:
A relaxed structure of NbAsC2S, computed with GGA-PBE.

Structure (POSCAR):
```
NbAsC2S
1.0
3.845 0.000 0.000
0.000 3.845 0.000
0.000 0.000 4.714
Nb As C S
1 1 2 1
direct
0.000 0.000 0.000
0.500 0.500 0.500
0.000 0.500 0.500
0.500 0.000 0.500
0.500 0.500 0.000
```

uncorrected formation energy = 1.7958 eV/atom
M_tot = 0.0 μB per cell


no.,energy (eV for the cell shown),ρ (g/cm³)
1,-28.5,6.87
2,-108.3,7.67
3,-28.9,7.32
4,-28.3,5.34